# 1
A plane-wave DFT calculation with PBE was carried out for crystalline MgHg3Bi at its relaxed geometry.

Cell lengths 13.0567, 13.0567, 6.1783 Å; angles 96.52, 96.52, 14.88 degrees
Fractional positions:
Mg 0.0718 0.0718 0.2765
Mg 0.9282 0.9282 0.7235
Hg 0.1513 0.1513 0.9917
Hg 0.2520 0.2520 0.7440
Hg 0.3501 0.3501 0.4701
Hg 0.6499 0.6499 0.5299
Hg 0.7480 0.7480 0.2560
Hg 0.8487 0.8487 0.0083
Bi 0.4718 0.4718 0.2381
Bi 0.5282 0.5282 0.7619

Results
Its total energy is -1.320 eV per atom. The value obtained for the magnetization is 0.00 μB/f.u. As for the density of states at the Fermi level: 0.2730 states/eV per atom. The excess energy over the best structure of this formula in the dataset comes out at 0.000 eV/atom. For the formation enthalpy at 0 K, the calculation gives -44 meV/atom. The calculation puts the theoretical density at 10.32 g cm⁻³.

=====

# 2
A plane-wave DFT calculation with PBE was carried out for crystalline Mg3Hg3Bi2 at its relaxed geometry.

Cell lengths 3.4113, 12.7621, 9.3528 Å; angles 90.00, 99.98, 90.00 degrees
Fractional positions:
Mg 0.1015 0.0386 0.2105
Mg 0.1015 0.4614 0.2105
Mg 0.1072 0.7500 0.2228
Mg 0.8928 0.2500 0.7772
Mg 0.8985 0.5386 0.7895
Mg 0.8985 0.9614 0.7895
Hg 0.3667 0.7500 0.7602
Hg 0.4765 0.1171 0.9551
Hg 0.4765 0.3829 0.9551
Hg 0.5235 0.6171 0.0449
Hg 0.5235 0.8829 0.0449
Hg 0.6333 0.2500 0.2398
Bi 0.2743 0.1202 0.5329
Bi 0.2743 0.3798 0.5329
Bi 0.7257 0.6202 0.4671
Bi 0.7257 0.8798 0.4671

Results
Its total energy is -1.794 eV per atom. The value obtained for the magnetization is 0.00 μB/f.u. As for the density of states at the Fermi level: 0.2101 states/eV per atom. For the formation enthalpy at 0 K, the calculation gives -113 meV/atom. The calculation puts the theoretical density at 9.05 g cm⁻³.

=====

What did the first record say?
A plane-wave DFT calculation with PBE was carried out for crystalline MgHg3Bi at its relaxed geometry.

Cell lengths 13.0567, 13.0567, 6.1783 Å; angles 96.52, 96.52, 14.88 degrees
Fractional positions:
Mg 0.0718 0.0718 0.2765
Mg 0.9282 0.9282 0.7235
Hg 0.1513 0.1513 0.9917
Hg 0.2520 0.2520 0.7440
Hg 0.3501 0.3501 0.4701
Hg 0.6499 0.6499 0.5299
Hg 0.7480 0.7480 0.2560
Hg 0.8487 0.8487 0.0083
Bi 0.4718 0.4718 0.2381
Bi 0.5282 0.5282 0.7619

Results
Its total energy is -1.320 eV per atom. The value obtained for the magnetization is 0.00 μB/f.u. As for the density of states at the Fermi level: 0.2730 states/eV per atom. The excess energy over the best structure of this formula in the dataset comes out at 0.000 eV/atom. For the formation enthalpy at 0 K, the calculation gives -44 meV/atom. The calculation puts the theoretical density at 10.32 g cm⁻³.

=====

theoretical density of number 1 (MgHg3Bi)? 10.32 g cm⁻³